1.
First-principles (PBE) data for a relaxed Na4LiCa2 crystal, as listed in Alexandria.

Output
Volume in Å³/atom: 36.00

abc: 3.6604 3.7706 18.3551
angles: 95.90 90.00 90.00
With the nearest neighbours (Å) after each atom.
Sites, in units of the cell vectors:
Na 0.5000 0.0564 0.1128  4 Li 3.34, 6 Na 3.66-3.72
Na 0.0000 0.3717 0.7434  8 Na 3.66-3.77, 4 Ca 3.85
Na 0.5000 0.9436 0.8872  4 Li 3.34, 6 Na 3.66-3.72
Na 0.0000 0.6283 0.2566  8 Na 3.66-3.77, 4 Ca 3.85
Li 0.0000 0.5000 0.0000  8 Na 3.34, 2 Li 3.66
Ca 0.5000 0.2055 0.4110  6 Ca 3.66-3.77, 4 Na 3.85
Ca 0.5000 0.7945 0.5890  6 Ca 3.66-3.77, 4 Na 3.85



2.
First-principles (PBE) data for a relaxed NaLi6Ca12 crystal, as listed in Alexandria.

Output
Volume in Å³/atom: 35.68

abc: 8.7958 8.7958 8.7958
angles: 87.02 87.02 87.02
With the nearest neighbours (Å) after each atom.
Sites, in units of the cell vectors:
Na 0.0000 0.0000 0.0000  6 Li 3.31, 6 Ca 3.64
Li 0.7392 0.8978 0.2645  1 Na 3.31, 2 Li 3.43, 6 Ca 3.46-3.64
Li 0.7355 0.2608 0.1022  1 Na 3.31, 2 Li 3.43, 6 Ca 3.46-3.64
Li 0.1022 0.7355 0.2608  1 Na 3.31, 2 Li 3.43, 6 Ca 3.46-3.64
Li 0.2608 0.1022 0.7355  1 Na 3.31, 2 Li 3.43, 6 Ca 3.46-3.64
Li 0.2645 0.7392 0.8978  1 Na 3.31, 2 Li 3.43, 6 Ca 3.46-3.64
Li 0.8978 0.2645 0.7392  1 Na 3.31, 2 Li 3.43, 6 Ca 3.46-3.64
Ca 0.7991 0.5381 0.4345  3 Li 3.46-3.62, 5 Ca 3.69-3.80
Ca 0.4345 0.7991 0.5381  3 Li 3.46-3.62, 5 Ca 3.69-3.80
Ca 0.5381 0.4345 0.7991  3 Li 3.46-3.62, 5 Ca 3.69-3.80
Ca 0.2009 0.4619 0.5655  3 Li 3.46-3.62, 5 Ca 3.69-3.80
Ca 0.5655 0.2009 0.4619  3 Li 3.46-3.62, 5 Ca 3.69-3.80
Ca 0.4619 0.5655 0.2009  3 Li 3.46-3.62, 5 Ca 3.69-3.80
Ca 0.0174 0.1599 0.3721  3 Li 3.50-3.64, 5 Ca 3.53-3.80, 1 Na 3.64
Ca 0.8401 0.6279 0.9826  3 Li 3.50-3.64, 5 Ca 3.53-3.80, 1 Na 3.64
Ca 0.6279 0.9826 0.8401  3 Li 3.50-3.64, 5 Ca 3.53-3.80, 1 Na 3.64
Ca 0.9826 0.8401 0.6279  3 Li 3.50-3.64, 5 Ca 3.53-3.80, 1 Na 3.64
Ca 0.1599 0.3721 0.0174  3 Li 3.50-3.64, 5 Ca 3.53-3.80, 1 Na 3.64
Ca 0.3721 0.0174 0.1599  3 Li 3.50-3.64, 5 Ca 3.53-3.80, 1 Na 3.64



3.
First-principles (PBE) data for a relaxed NaLiCa2 crystal, as listed in Alexandria.

Output
Volume in Å³/atom: 34.93

abc: 4.1501 5.8020 5.8020
angles: 90.00 90.00 90.00
With the nearest neighbours (Å) after each atom.
Sites, in units of the cell vectors:
Na 0.5000 0.5000 0.5000  8 Ca 3.57
Ca 0.0000 0.0000 0.5000  4 Li 3.57, 4 Na 3.57
Ca 0.0000 0.5000 0.0000  4 Li 3.57, 4 Na 3.57
Li 0.5000 0.0000 0.0000  8 Ca 3.57



4.
First-principles (PBE) data for a relaxed Na2LiCa crystal, as listed in Alexandria.

Output
Volume in Å³/atom: 34.18

abc: 5.7823 5.7823 5.7823
angles: 60.00 60.00 60.00
With the nearest neighbours (Å) after each atom.
Sites, in units of the cell vectors:
Na 0.2500 0.2500 0.2500  4 Li 3.54, 4 Ca 3.54
Na 0.7500 0.7500 0.7500  4 Li 3.54, 4 Ca 3.54
Ca 0.5000 0.5000 0.5000  8 Na 3.54
Li 0.0000 0.0000 0.0000  8 Na 3.54



5.
First-principles (PBE) data for a relaxed NaLiCa crystal, as listed in Alexandria.

Output
Volume in Å³/atom: 33.29

abc: 9.8994 9.8994 6.4295
angles: 77.68 77.68 82.68
With the nearest neighbours (Å) after each atom.
Sites, in units of the cell vectors:
Na 0.0552 0.9448 0.7500  2 Li 3.20, 2 Na 3.52
Na 0.9448 0.0552 0.2500  2 Li 3.20, 2 Na 3.52
Na 0.2244 0.5545 0.7765  3 Li 2.97-3.10, 1 Na 3.21
Na 0.4455 0.7756 0.7235  3 Li 2.97-3.10, 1 Na 3.21
Na 0.7756 0.4455 0.2235  3 Li 2.97-3.10, 1 Na 3.21
Na 0.5545 0.2244 0.2765  3 Li 2.97-3.10, 1 Na 3.21
Ca 0.7811 0.2189 0.7500  3 Li 3.23-3.28, 1 Na 3.58
Ca 0.2189 0.7811 0.2500  3 Li 3.23-3.28, 1 Na 3.58
Ca 0.3603 0.1520 0.8670  5 Li 3.43-3.65, 2 Na 3.80-3.83
Ca 0.8480 0.6397 0.6330  5 Li 3.43-3.65, 2 Na 3.80-3.83
Ca 0.6397 0.8480 0.1330  5 Li 3.43-3.65, 2 Na 3.80-3.83
Ca 0.1520 0.3603 0.3670  5 Li 3.43-3.65, 2 Na 3.80-3.83
Li 0.5344 0.4656 0.7500  2 Na 3.06, 1 Ca 3.23, 2 Li 3.34
Li 0.4656 0.5344 0.2500  2 Na 3.06, 1 Ca 3.23, 2 Li 3.34
Li 0.9705 0.6670 0.0867  3 Na 2.97-3.20, 1 Ca 3.28
Li 0.3330 0.0295 0.4133  3 Na 2.97-3.20, 1 Ca 3.28
Li 0.0295 0.3330 0.9133  3 Na 2.97-3.20, 1 Ca 3.28
Li 0.6670 0.9705 0.5867  3 Na 2.97-3.20, 1 Ca 3.28



6.
First-principles (PBE) data for a relaxed NaLiCa crystal, as listed in Alexandria.

Output
Volume in Å³/atom: 34.39

abc: 3.7785 3.7844 16.8382
angles: 90.01 83.05 59.94
With the nearest neighbours (Å) after each atom.
Sites, in units of the cell vectors:
Na 0.5574 0.9948 0.6980  9 Na 3.75-3.80, 3 Ca 3.82-3.85
Na 0.7741 0.3855 0.8835  9 Na 3.75-3.80, 3 Ca 3.82-3.85
Li 0.7907 0.8743 0.3510  3 Li 2.96-2.97
Li 0.5404 0.4994 0.2305  3 Li 2.96-2.97
Ca 0.0167 0.2619 0.5088  3 Li 3.40-3.43, 6 Ca 3.78
Ca 0.3142 0.1125 0.0728  3 Li 3.40-3.43, 6 Ca 3.78



7.
First-principles (PBE) data for a relaxed NaLiCa6 crystal, as listed in Alexandria.

Output
Volume in Å³/atom: 38.58

abc: 5.6950 5.6950 10.3323
angles: 74.00 74.00 90.00
With the nearest neighbours (Å) after each atom.
Sites, in units of the cell vectors:
Na 0.5000 0.5000 0.0000  8 Ca 3.56
Li 0.0000 0.0000 0.0000  8 Ca 3.56
Ca 0.7504 0.7504 0.4992  12 Ca 3.87-4.03
Ca 0.6119 0.1119 0.7762  2 Na 3.56, 2 Li 3.56, 4 Ca 3.87-3.88
Ca 0.1119 0.6119 0.7762  2 Li 3.56, 2 Na 3.56, 4 Ca 3.87-3.88
Ca 0.3881 0.8881 0.2238  2 Na 3.56, 2 Li 3.56, 4 Ca 3.87-3.88
Ca 0.2496 0.2496 0.5008  12 Ca 3.87-4.03
Ca 0.8881 0.3881 0.2238  2 Li 3.56, 2 Na 3.56, 4 Ca 3.87-3.88



8.
First-principles (PBE) data for a relaxed NaLiCa4 crystal, as listed in Alexandria.

Output
Volume in Å³/atom: 37.51

abc: 3.9566 3.9566 14.3757
angles: 90.00 90.00 90.00
With the nearest neighbours (Å) after each atom.
Sites, in units of the cell vectors:
Na 0.5000 0.5000 0.5000  8 Ca 3.77, 4 Na 3.96
Li 0.0000 0.0000 0.0000  8 Ca 3.42
Ca 0.5000 0.5000 0.8633  4 Li 3.42
Ca 0.5000 0.5000 0.1367  4 Li 3.42
Ca 0.0000 0.0000 0.6755  4 Na 3.77, 8 Ca 3.89-3.96
Ca 0.0000 0.0000 0.3245  4 Na 3.77, 8 Ca 3.89-3.96



9.
First-principles (PBE) data for a relaxed Na2LiCa crystal, as listed in Alexandria.

Output
Volume in Å³/atom: 34.06

abc: 3.8126 3.8126 9.3722
angles: 90.00 90.00 90.00
With the nearest neighbours (Å) after each atom.
Sites, in units of the cell vectors:
Na 0.0000 0.0000 0.0100  8 Na 3.73-3.81, 4 Ca 3.85
Na 0.5000 0.5000 0.2848  4 Li 3.30
Li 0.0000 0.0000 0.4887  4 Na 3.30, 4 Ca 3.44
Ca 0.5000 0.5000 0.7166  4 Li 3.44, 4 Ca 3.81, 4 Na 3.85



10.
First-principles (PBE) data for a relaxed NaLi4Ca crystal, as listed in Alexandria.

Output
Volume in Å³/atom: 26.70

abc: 6.0964 6.0964 6.0964
angles: 60.00 60.00 60.00
With the nearest neighbours (Å) after each atom.
Sites, in units of the cell vectors:
Na 0.0000 0.0000 0.0000  12 Li 3.58, 4 Ca 3.73
Ca 0.2500 0.2500 0.2500  12 Li 3.57, 4 Na 3.73
Li 0.6247 0.6247 0.1258  6 Li 3.04-3.05
Li 0.6247 0.1258 0.6247  6 Li 3.04-3.05
Li 0.6247 0.6247 0.6247  6 Li 3.04-3.05
Li 0.1258 0.6247 0.6247  6 Li 3.04-3.05



Quick rundown of final energy, same order as above: -1.518, -1.855, -1.747, -1.520, -1.648, -1.660, -1.872, -1.842, -1.596, -1.793 eV per atom